No. 1
Density functional theory data (PBE) for crystalline HfS2BrCl at its relaxed geometry.

Summary:
* final energy: -3.439 eV per atom
* Fermi-level density of states: 4.56 states/eV/cell
* uncorrected formation energy: 4.533 eV/f.u.
* space group: P4/mmm
* crystal system: tetragonal

abc: 4.9793 4.9793 4.7614
angles: 90.00 90.00 90.00
With the nearest neighbours (Å) after each atom.
Positions (direct):
Br1 0.0000 0.0000 0.0000  2 Cl 2.38, 4 S 2.49
S1 0.5000 0.0000 0.0000  2 Br 2.49
S2 0.0000 0.5000 0.0000  2 Br 2.49
Cl1 0.0000 0.0000 0.5000  2 Br 2.38
Hf1 0.5000 0.5000 0.5000  8 S 3.44, 4 Cl 3.52



No. 2
Density functional theory data (PBE) for crystalline Na2LaGeS4 at its relaxed geometry.

Summary:
* final energy: -4.733 eV per atom
* Fermi-level density of states: 2.75 states/eV/cell
* uncorrected formation energy: -9.170 eV/f.u.
* space group: P2/m
* crystal system: monoclinic

abc: 3.9922 7.0817 6.9412
angles: 70.99 90.00 90.00
With the nearest neighbours (Å) after each atom.
Positions (direct):
S1 0.5000 0.2710 0.7682  1 Ge 2.63, 2 La 2.85, 2 Na 2.87
S2 0.0000 0.7201 0.7807  2 Ge 2.68, 1 La 2.86, 1 Na 2.87
S3 0.5000 0.7290 0.2318  1 Ge 2.63, 2 La 2.85, 2 Na 2.87
S4 0.0000 0.2799 0.2193  2 Ge 2.68, 1 La 2.86, 1 Na 2.87
Ge1 0.5000 0.5000 0.0000  6 S 2.63-2.68
Na1 0.0000 0.0000 0.0000  6 S 2.87
Na2 0.5000 0.0000 0.5000  6 S 3.03-3.08
La1 0.0000 0.5000 0.5000  6 S 2.85-2.86



No. 3
Density functional theory data (PBE) for crystalline CoTcN at its relaxed geometry.

Summary:
* final energy: -8.131 eV per atom
* Fermi-level density of states: 1.79 states/eV/cell
* uncorrected formation energy: 1.404 eV/f.u.
* space group: P-6m2
* crystal system: hexagonal

abc: 3.3270 3.4084 3.4084
angles: 120.00 90.00 90.00
With the nearest neighbours (Å) after each atom.
Positions (direct):
N1 0.4992 0.6667 0.3333  3 Tc 1.97
Co1 0.0004 0.0000 0.0000  6 N 2.57-2.58, 6 Tc 2.58
Tc1 0.5004 0.3333 0.6667  3 N 1.97



No. 4
Density functional theory data (PBE) for crystalline La3CdO at its relaxed geometry.

Summary:
* final energy: -5.284 eV per atom
* Fermi-level density of states: 12.04 states/eV/cell
* uncorrected formation energy: -5.763 eV/f.u.
* space group: Imma
* crystal system: orthorhombic

abc: 5.7829 14.9442 6.8432
angles: 90.00 90.00 90.00
With the nearest neighbours (Å) after each atom.
Positions (direct):
La1 0.5001 0.1145 0.4382  1 O 2.31
La2 0.9999 0.7500 0.4380  1 O 2.32
La3 0.0001 0.2500 0.5620  1 O 2.32
La4 0.9999 0.6145 0.9382  1 O 2.31
La5 0.0001 0.1145 0.0618  1 O 2.31
La6 0.5001 0.3855 0.4382  1 O 2.31
La7 0.4999 0.7500 0.0620  1 O 2.32
La8 0.4999 0.8855 0.5618  1 O 2.31
La9 0.4999 0.6145 0.5618  1 O 2.31
La10 0.5001 0.2500 0.9380  1 O 2.32
La11 0.9999 0.8855 0.9382  1 O 2.31
La12 0.0001 0.3855 0.0618  1 O 2.31
O1 0.9998 0.7500 0.0992  3 La 2.31-2.32
O2 0.4998 0.7500 0.4008  3 La 2.31-2.32
O3 0.0002 0.2500 0.9008  3 La 2.31-2.32
O4 0.5002 0.2500 0.5992  3 La 2.31-2.32
Cd1 0.5000 0.0000 0.0000  8 La 3.39-3.76
Cd2 0.0000 0.5000 0.5000  8 La 3.39-3.76
Cd3 0.0000 0.0000 0.5000  8 La 3.39-3.76
Cd4 0.5000 0.5000 0.0000  8 La 3.39-3.76



No. 5
Density functional theory data (PBE) for crystalline V6Cr3Fe at its relaxed geometry.

Summary:
* final energy: -9.321 eV per atom
* Fermi-level density of states: 17.95 states/eV/cell
* space group: P2_1/m
* E_form: -1.2 eV per formula unit
* crystal system: monoclinic

abc: 4.1047 7.1560 9.6667
angles: 119.32 90.00 90.00
With the nearest neighbours (Å) after each atom.
Positions (direct):
Fe1 0.2500 0.3525 0.4021  8 V 2.49-2.56
Fe2 0.7500 0.6475 0.5979  8 V 2.49-2.56
Cr1 0.2500 0.7524 0.0004  8 V 2.50-2.56
Cr2 0.7500 0.2476 0.9996  8 V 2.50-2.56
Cr3 0.7500 0.4505 0.7988  8 V 2.49-2.55
Cr4 0.2500 0.1505 0.6001  8 V 2.49-2.56
Cr5 0.7500 0.8495 0.3999  8 V 2.49-2.56
Cr6 0.2500 0.5495 0.2012  8 V 2.49-2.55
V1 0.7500 0.8443 0.8980  4 Cr 2.49-2.55, 3 V 2.53-2.57, 1 Fe 2.53
V2 0.7500 0.4548 0.3028  3 Fe 2.49-2.52, 4 Cr 2.50-2.56, 1 V 2.55
V3 0.2500 0.3526 0.8984  7 Cr 2.51-2.55, 1 V 2.57
V4 0.7500 0.0525 0.2023  8 V 2.53-2.57
V5 0.2500 0.1557 0.1020  4 Cr 2.49-2.55, 3 V 2.53-2.57, 1 Fe 2.53
V6 0.2500 0.9475 0.7977  8 V 2.53-2.57
V7 0.7500 0.2545 0.5025  3 Fe 2.49-2.51, 4 Cr 2.50-2.56, 1 V 2.53
V8 0.2500 0.9498 0.3045  5 Cr 2.49-2.56, 2 V 2.54, 1 Fe 2.56
V9 0.2500 0.7455 0.4975  3 Fe 2.49-2.51, 4 Cr 2.50-2.56, 1 V 2.53
V10 0.7500 0.0502 0.6955  5 Cr 2.49-2.56, 2 V 2.54, 1 Fe 2.56
V11 0.7500 0.6474 0.1016  7 Cr 2.51-2.55, 1 V 2.57
V12 0.2500 0.5452 0.6972  3 Fe 2.49-2.52, 4 Cr 2.50-2.56, 1 V 2.55



No. 6
Density functional theory data (PBE) for crystalline Nd2Sm6Dy3In at its relaxed geometry.

Summary:
* final energy: -4.586 eV per atom
* Fermi-level density of states: 14.08 states/eV/cell
* space group: C2/m
* E_form: -0.6 eV per formula unit
* crystal system: monoclinic

abc: 6.1839 6.1839 11.8567
angles: 95.00 95.00 120.07
With the nearest neighbours (Å) after each atom.
Positions (direct):
Dy1 0.5000 0.5000 0.5000  6 Sm 3.56-3.59, 6 Dy 3.57
Dy2 0.8327 0.1673 0.5000  6 Sm 3.55-3.59, 6 Dy 3.56-3.58
Dy3 0.1673 0.8327 0.5000  6 Sm 3.55-3.59, 6 Dy 3.56-3.58
Sm1 0.9166 0.5905 0.7495  6 Sm 3.49-3.61, 1 In 3.55, 3 Dy 3.56-3.59, 2 Nd 3.59
Sm2 0.0834 0.4095 0.2505  6 Sm 3.49-3.61, 1 In 3.55, 3 Dy 3.56-3.59, 2 Nd 3.59
Sm3 0.7578 0.7578 0.2514  6 Sm 3.49-3.61, 3 Dy 3.55-3.59, 1 In 3.56, 2 Nd 3.60
Sm4 0.4095 0.0834 0.2505  6 Sm 3.49-3.61, 1 In 3.55, 3 Dy 3.56-3.59, 2 Nd 3.59
Sm5 0.5905 0.9166 0.7495  6 Sm 3.49-3.61, 1 In 3.55, 3 Dy 3.56-3.59, 2 Nd 3.59
Sm6 0.2422 0.2422 0.7486  6 Sm 3.49-3.61, 3 Dy 3.55-3.59, 1 In 3.56, 2 Nd 3.60
Nd1 0.3336 0.6664 0.0000  3 Nd 3.57, 3 In 3.57, 6 Sm 3.59-3.60
Nd2 0.6664 0.3336 0.0000  3 Nd 3.57, 3 In 3.57, 6 Sm 3.59-3.60
In1 0.0000 0.0000 0.0000  6 Sm 3.55-3.56, 6 Nd 3.57



No. 7
Density functional theory data (PBE) for crystalline CaIn6Ir6 at its relaxed geometry.

Summary:
* final energy: -5.675 eV per atom
* Fermi-level density of states: 10.96 states/eV/cell
* space group: Immm
* E_form: -2.2 eV per formula unit
* crystal system: orthorhombic

abc: 5.6221 7.2103 7.2103
angles: 77.89 67.09 67.09
With the nearest neighbours (Å) after each atom.
Positions (direct):
Ir1 0.5000 0.0000 0.5000  6 In 2.77-2.91, 4 Ir 2.80-2.81
Ir2 0.5000 0.2425 0.7575  6 In 2.77-2.94, 4 Ir 2.80-2.81
Ir3 0.0000 0.5000 0.0000  6 In 2.77-2.91, 4 Ir 2.81
Ir4 0.0000 0.0000 0.5000  6 In 2.77-2.91, 4 Ir 2.81
Ir5 0.5000 0.5000 0.0000  6 In 2.77-2.91, 4 Ir 2.80-2.81
Ir6 0.5000 0.7575 0.2425  6 In 2.77-2.94, 4 Ir 2.80-2.81
In1 0.0000 0.3366 0.6634  6 Ir 2.91-2.94, 1 In 2.96, 1 Ca 3.05
In2 0.6741 0.8260 0.8260  6 Ir 2.77
In3 0.0000 0.6634 0.3366  6 Ir 2.91-2.94, 1 In 2.96, 1 Ca 3.05
In4 0.3393 0.6607 0.6607  6 Ir 2.80-2.81, 1 In 3.12
In5 0.6607 0.3393 0.3393  6 Ir 2.80-2.81, 1 In 3.12
In6 0.3259 0.1740 0.1740  6 Ir 2.77
Ca1 0.0000 0.0000 0.0000  8 In 3.05-3.29



No. 8
Density functional theory data (PBE) for crystalline ThCdRh2 at its relaxed geometry.

Summary:
* final energy: -6.445 eV per atom
* Fermi-level density of states: 0.47 states/eV/cell
* space group: P4/mmm
* E_form: -2.7 eV per formula unit
* crystal system: tetragonal

abc: 3.7562 4.5412 4.5412
angles: 90.00 90.00 90.00
With the nearest neighbours (Å) after each atom.
Positions (direct):
Rh1 0.0000 0.5000 0.0000  4 Cd 2.95, 4 Th 2.95, 4 Rh 3.21
Rh2 0.0000 0.0000 0.5000  4 Cd 2.95, 4 Th 2.95, 4 Rh 3.21
Cd1 0.5000 0.0000 0.0000  8 Rh 2.95, 4 Th 3.21
Th1 0.5000 0.5000 0.5000  8 Rh 2.95, 4 Cd 3.21



No. 9
Density functional theory data (PBE) for crystalline La11Tb4Sm9 at its relaxed geometry.

Summary:
* final energy: -4.736 eV per atom
* Fermi-level density of states: 37.42 states/eV/cell
* space group: Cmmm
* E_form: 1.5 eV per formula unit
* crystal system: orthorhombic

abc: 3.7263 15.7539 15.7539
angles: 113.06 90.00 90.00
With the nearest neighbours (Å) after each atom.
Positions (direct):
La1 0.0000 0.2922 0.2922  4 Tb 3.38, 2 La 3.73, 4 Sm 3.76
La2 0.0000 0.5961 0.9574  2 Tb 3.47, 6 Sm 3.62-3.82, 3 La 3.73-3.76
La3 0.0000 0.1605 0.8395  4 La 3.73-3.92, 8 Sm 3.81-3.83
La4 0.0000 0.3690 0.6310  4 Tb 3.40, 4 Sm 3.70, 2 La 3.73
La5 0.0000 0.0426 0.4039  2 Tb 3.47, 6 Sm 3.62-3.82, 3 La 3.73-3.76
La6 0.0000 0.8395 0.1605  4 La 3.73-3.92, 8 Sm 3.81-3.83
La7 0.0000 0.0000 0.0000  8 Sm 3.62, 2 La 3.73
La8 0.0000 0.9574 0.5961  2 Tb 3.47, 6 Sm 3.62-3.82, 3 La 3.73-3.76
La9 0.0000 0.7078 0.7078  4 Tb 3.38, 2 La 3.73, 4 Sm 3.76
La10 0.0000 0.6310 0.3690  4 Tb 3.40, 4 Sm 3.70, 2 La 3.73
La11 0.0000 0.4039 0.0426  2 Tb 3.47, 6 Sm 3.62-3.82, 3 La 3.73-3.76
Sm1 0.5000 0.0671 0.2132  1 Tb 3.59, 8 La 3.62-3.83, 3 Sm 3.73-3.84
Sm2 0.5000 0.7868 0.9329  1 Tb 3.59, 8 La 3.62-3.83, 3 Sm 3.73-3.84
Sm3 0.5000 0.2132 0.0671  1 Tb 3.59, 8 La 3.62-3.83, 3 Sm 3.73-3.84
Sm4 0.5000 0.5000 0.5000  2 Sm 3.73, 4 Tb 3.83, 8 La 3.91-4.06
Sm5 0.5000 0.6307 0.1656  3 Sm 3.54-3.73, 1 Tb 3.57, 8 La 3.62-3.82
Sm6 0.5000 0.3693 0.8344  3 Sm 3.54-3.73, 1 Tb 3.57, 8 La 3.62-3.82
Sm7 0.5000 0.1656 0.6307  3 Sm 3.54-3.73, 1 Tb 3.57, 8 La 3.62-3.82
Sm8 0.5000 0.8344 0.3693  3 Sm 3.54-3.73, 1 Tb 3.57, 8 La 3.62-3.82
Sm9 0.5000 0.9329 0.7868  1 Tb 3.59, 8 La 3.62-3.83, 3 Sm 3.73-3.84
Tb1 0.5000 0.7595 0.5559  6 La 3.38-3.47, 2 Sm 3.57-3.59, 2 Tb 3.73
Tb2 0.5000 0.5559 0.7595  6 La 3.38-3.47, 2 Sm 3.57-3.59, 2 Tb 3.73
Tb3 0.5000 0.2405 0.4441  6 La 3.38-3.47, 2 Sm 3.57-3.59, 2 Tb 3.73
Tb4 0.5000 0.4441 0.2405  6 La 3.38-3.47, 2 Sm 3.57-3.59, 2 Tb 3.73



No. 10
Density functional theory data (PBE) for crystalline K2MgSi2O6 at its relaxed geometry.

Summary:
* final energy: -6.345 eV per atom
* Fermi-level density of states: 0.00 states/eV/cell
* uncorrected formation energy: -25.412 eV/f.u.
* space group: R-3m
* crystal system: trigonal

abc: 5.6695 5.6695 6.7199
angles: 65.05 65.05 60.00
With the nearest neighbours (Å) after each atom.
Positions (direct):
Si1 0.5956 0.5956 0.2131  3 O 1.58
Si2 0.4044 0.4044 0.7869  3 O 1.58
O1 0.7291 0.2455 0.7798  1 Si 1.58
O2 0.7545 0.7545 0.2202  1 Si 1.58
O3 0.7545 0.2709 0.2202  1 Si 1.58
O4 0.2455 0.2455 0.7798  1 Si 1.58
O5 0.2455 0.7291 0.7798  1 Si 1.58
O6 0.2709 0.7545 0.2202  1 Si 1.58
K1 0.7963 0.7963 0.6112  9 O 2.85-3.00
K2 0.2037 0.2037 0.3888  9 O 2.85-3.00
Mg1 0.0000 0.0000 0.0000  6 O 2.13



No. 11
Density functional theory data (PBE) for crystalline Sm3Ho6Tm at its relaxed geometry.

Summary:
* final energy: -4.385 eV per atom
* Fermi-level density of states: 16.95 states/eV/cell
* space group: C2/m
* E_form: 2.2 eV per formula unit
* crystal system: monoclinic

abc: 6.5537 9.5819 6.6001
angles: 110.70 119.77 90.00
With the nearest neighbours (Å) after each atom.
Positions (direct):
Ho1 0.0666 0.6902 0.6276  3 Ho 3.24-3.33, 3 Sm 3.26-3.34
Ho2 0.5611 0.6902 0.6276  3 Ho 3.24-3.33, 3 Sm 3.26-3.34
Ho3 0.9334 0.3098 0.3724  3 Ho 3.24-3.33, 3 Sm 3.26-3.34
Ho4 0.4389 0.3098 0.3724  3 Ho 3.24-3.33, 3 Sm 3.26-3.34
Ho5 0.6382 0.9227 0.2763  1 Tm 3.70, 6 Sm 3.81-3.90, 9 Ho 3.83-4.05
Ho6 0.3618 0.0773 0.7237  1 Tm 3.70, 6 Sm 3.81-3.90, 9 Ho 3.83-4.05
Sm1 0.9306 0.3023 0.8612  4 Ho 3.26-3.34, 2 Sm 3.30-3.46
Sm2 0.0694 0.6977 0.1388  4 Ho 3.26-3.34, 2 Sm 3.30-3.46
Sm3 0.0000 0.0000 0.0000  2 Sm 3.30, 4 Ho 3.31
Tm1 0.5000 0.5000 0.0000  10 Ho 3.70, 4 Sm 3.71



No. 12
Density functional theory data (PBE) for crystalline ZrAgAs3 at its relaxed geometry.

Summary:
* final energy: -4.723 eV per atom
* Fermi-level density of states: 3.90 states/eV/cell
* space group: Pm-3m
* E_form: 1.7 eV per formula unit
* crystal system: cubic

abc: 5.1818 5.1818 5.1818
angles: 90.00 90.00 90.00
With the nearest neighbours (Å) after each atom.
Positions (direct):
Ag1 0.5000 0.5000 0.5000  12 As 3.66
As1 0.5000 0.0000 0.0000  2 Zr 2.59
As2 0.0000 0.0000 0.5000  2 Zr 2.59
As3 0.0000 0.5000 0.0000  2 Zr 2.59
Zr1 0.0000 0.0000 0.0000  6 As 2.59